(1)
A geometry-optimized TlAsHBr2 structure, computed with PBE.

```
TlAsHBr2
1.0
-0.281 1.202 5.531
5.498 -1.256 0.552
0.851 3.419 -0.700
H Tl As Br
1 1 1 2
Cartesian
0.000 0.000 0.000
3.034 1.683 2.691
0.426 1.709 -0.350
2.749 -0.628 0.276
-0.140 0.601 2.765
```

Properties
E_tot = -13.4 eV per cell
space-group type = P4/mmm, No. 123
size of the total moment = 0.0 Bohr magnetons per cell
crystal system = tetragonal

(2)
A geometry-optimized TlAsHBr2 structure, computed with PBE.

```
TlAsHBr2
1.0
5.769 0.000 0.000
0.000 5.769 0.000
0.000 0.000 5.561
H Tl As Br
1 1 1 2
Cartesian
2.885 2.885 2.780
0.000 0.000 0.000
0.000 0.000 2.780
0.000 2.885 0.000
2.885 0.000 0.000
```

Properties
E_tot = -10.5 eV per cell
space-group type = P4/mmm, No. 123
size of the total moment = 2.8 Bohr magnetons per cell
crystal system = tetragonal

(3)
A geometry-optimized VAsH2Br structure, computed with PBE.

```
VAsH2Br
1.0
-2.084 2.813 0.827
-3.709 -0.678 -7.042
-2.410 -2.221 1.483
H As Br V
2 1 1 1
Cartesian
-1.205 -1.111 0.741
-1.042 1.406 0.413
0.000 0.000 0.000
-1.854 -0.339 -3.521
-4.101 -0.043 -2.366
```

Properties
E_tot = -19.2 eV per cell
space-group type = P4/mmm, No. 123
size of the total moment = 3.3 Bohr magnetons per cell
crystal system = tetragonal

(4)
A geometry-optimized AsHWBr2 structure, computed with PBE.

```
AsHWBr2
1.0
-0.046 4.269 2.981
-5.169 0.319 -0.537
-0.578 -2.753 3.933
H As Br W
1 1 2 1
Cartesian
-2.897 0.917 3.189
-0.289 -1.376 1.967
-2.585 0.159 -0.268
-0.023 2.134 1.490
0.000 0.000 0.000
```

Properties
E_tot = -20.7 eV per cell
space-group type = P4/mmm, No. 123
size of the total moment = 1.4 Bohr magnetons per cell
crystal system = tetragonal

(5)
A geometry-optimized AsHWBr2 structure, computed with PBE.

```
AsHWBr2
1.0
4.941 0.000 0.000
0.000 4.941 0.000
0.000 0.000 3.456
H As Br W
1 1 2 1
Cartesian
0.000 0.000 0.000
0.000 0.000 1.728
0.000 2.471 0.000
2.471 0.000 0.000
2.471 2.471 1.728
```

Properties
E_tot = -18.3 eV per cell
space-group type = P4/mmm, No. 123
size of the total moment = 1.6 Bohr magnetons per cell
crystal system = tetragonal

(6)
A geometry-optimized Zn2AsHBr structure, computed with PBE.

```
Zn2AsHBr
1.0
5.382 0.000 0.000
0.000 3.304 0.000
0.000 0.000 5.382
H As Zn Br
1 1 2 1
Cartesian
0.000 1.652 0.000
2.691 1.652 2.691
0.000 0.000 2.691
2.691 0.000 0.000
0.000 0.000 0.000
```

Properties
E_tot = -9.8 eV per cell
space-group type = P4/mmm, No. 123
size of the total moment = 0.0 Bohr magnetons per cell
crystal system = tetragonal

(7)
A geometry-optimized HfAs2IBr structure, computed with PBE.

```
HfAs2IBr
1.0
5.295 0.000 0.000
0.000 5.295 0.000
0.000 0.000 5.160
I As Hf Br
1 2 1 1
Cartesian
2.647 2.647 2.580
0.000 2.647 0.000
2.647 0.000 0.000
0.000 0.000 0.000
0.000 0.000 2.580
```

Properties
E_tot = -22.7 eV per cell
space-group type = P4/mmm, No. 123
size of the total moment = 0.0 Bohr magnetons per cell
uncorrected formation energy = -0.05 eV/atom
crystal system = tetragonal

(8)
A geometry-optimized HfAs2IBr structure, computed with PBE.

```
HfAs2IBr
1.0
-3.098 -2.341 -3.670
-3.620 -1.116 3.768
-2.420 4.677 -0.940
I As Hf Br
1 2 1 1
Cartesian
0.000 0.000 0.000
-1.810 -0.558 1.884
-1.549 -1.170 -1.835
-4.569 0.610 -0.421
-1.210 2.338 -0.470
```

Properties
E_tot = -16.2 eV per cell
space-group type = P4/mmm, No. 123
size of the total moment = 0.6 Bohr magnetons per cell
uncorrected formation energy = 1.26 eV/atom
crystal system = tetragonal

Repeat the first record exactly.
A geometry-optimized TlAsHBr2 structure, computed with PBE.

```
TlAsHBr2
1.0
-0.281 1.202 5.531
5.498 -1.256 0.552
0.851 3.419 -0.700
H Tl As Br
1 1 1 2
Cartesian
0.000 0.000 0.000
3.034 1.683 2.691
0.426 1.709 -0.350
2.749 -0.628 0.276
-0.140 0.601 2.765
```

Properties
E_tot = -13.4 eV per cell
space-group type = P4/mmm, No. 123
size of the total moment = 0.0 Bohr magnetons per cell
crystal system = tetragonal

Among the records above, which one has the highest size of the total moment? VAsH2Br

Which of these has the lowest E_tot? number 7

Look up the E_tot of the seventh one. -22.7 eV per cell